Below is crystalline Pm6Si5 at its relaxed geometry, with properties calculated at the PBE-GGA level.

Geometry as POSCAR:
```
Pm6Si5
1.0
3.702 -6.455 0.000
3.702 6.455 0.000
-2.471 0.000 6.673
Pm Si
6 5
Direct
0.069 0.413 0.240
0.242 0.242 0.752
0.413 0.069 0.240
0.587 0.931 0.760
0.758 0.758 0.248
0.931 0.587 0.760
0.000 0.000 0.000
0.167 0.833 0.500
0.341 0.659 0.000
0.659 0.341 0.000
0.833 0.167 0.500
```

Output
uncorrected formation energy	-0.449	eV per atom
DOS at the Fermi energy	7.668	states/eV/cell
crystal system	monoclinic